[1]
Entry from OQMD via LeMat-Bulk: an optimized crystal structure of La2PrMg3AgPd2 (PBE).

Cell and atoms, written as extended XYZ:
```
9
Lattice="-1.388 3.965 -0.100 -7.308 -2.572 -0.569 3.183 1.289 6.968" Properties=species:S:1:pos:R:3 pbc="T T T"
Ag 0.000 0.000 0.000
Pd -0.988 1.991 4.408
Pd -4.514 0.694 1.875
Mg -1.710 1.666 1.527
Mg -3.046 1.323 6.471
Mg -5.577 0.392 4.653
Pr -2.396 -0.745 3.717
La 0.103 0.205 6.727
La -5.966 -2.028 2.367
```

## Properties
**Final energy**: -4.1456 eV/atom

[2]
Entry from OQMD via LeMat-Bulk: an optimized crystal structure of La2PrMg3AgPt2 (PBE).

Cell and atoms, written as extended XYZ:
```
9
Lattice="4.177 0.000 0.000 0.000 6.731 3.859 0.000 -6.731 3.859" Properties=species:S:1:pos:R:3 pbc="T T T"
Pt 2.089 2.267 3.847
Pt 2.089 -2.267 3.847
Mg 2.089 0.000 1.917
Mg 2.089 -1.638 6.763
Mg 2.089 1.638 6.763
Pr 0.000 0.000 4.472
La 0.000 3.879 5.491
La 0.000 -3.879 5.491
Ag 0.000 0.000 7.715
```

## Properties
**Final energy**: -4.5086 eV/atom

[3]
Entry from OQMD via LeMat-Bulk: an optimized crystal structure of LaPr2Mg3AgPt2 (PBE).

Cell and atoms, written as extended XYZ:
```
9
Lattice="-2.371 2.809 1.959 -6.099 -4.681 -0.670 4.535 -0.512 6.223" Properties=species:S:1:pos:R:3 pbc="T T T"
La -0.901 -2.992 3.200
Mg -5.767 -2.121 0.489
Mg 2.216 1.009 5.663
Mg -1.567 0.137 2.335
Pt -3.724 -1.888 2.628
Pt -0.215 -0.513 4.902
Pr 1.906 -0.218 2.619
Pr -2.565 -1.971 -0.278
Ag 0.000 -0.002 0.002
```

## Properties
**Final energy**: -4.4806 eV/atom

[4]
Entry from OQMD via LeMat-Bulk: an optimized crystal structure of LaMgAgS3 (PBE).

Cell and atoms, written as extended XYZ:
```
12
Lattice="-6.544 -0.489 0.536 -5.170 -4.077 -0.002 0.990 -1.262 10.940" Properties=species:S:1:pos:R:3 pbc="T T T"
Mg -8.706 -3.805 3.143
Mg -2.018 -2.022 8.331
S -3.686 -2.120 4.724
S -6.711 -4.123 10.355
S -4.012 -1.704 1.119
S -7.038 -3.707 6.750
S -1.125 -0.850 2.798
S -9.598 -4.976 8.676
Ag -5.292 -3.298 8.480
Ag -5.432 -2.529 2.994
La 0.495 -0.631 5.470
La 0.000 0.000 0.000
```

## Properties
**Final energy**: -4.8109 eV/atom